[1]
Density functional theory data (GGA-PBE) for a relaxed structure of AcLa2Nd.

Properties
symmetry: No. 160
formation energy: 0.03 eV per atom
size of the total moment: 0.00 μB/cell
volume: 38.80 A^3/atom
VASP energy: -18.613 eV/f.u.
ΔE to the lowest computed polymorph: 19 meV per atom

Structure (POSCAR):
```
AcLa2Nd
1.0
-1.975 0.442 -3.226
-3.797 -0.288 0.040
-2.820 12.172 1.147
La Ac Nd
2 1 1
Direct
0.253 0.253 0.242
0.080 0.080 0.758
0.500 0.500 0.501
0.667 0.667 0.999
```

[2]
Density functional theory data (GGA-PBE) for a relaxed structure of GaSb2HI.

Properties
symmetry: No. 123
size of the total moment: 0.11 μB/cell
volume: 34.45 A^3/atom
VASP energy: -11.773 eV/f.u.
ΔE to the lowest computed polymorph: 522 meV per atom

Structure (POSCAR):
```
GaSb2HI
1.0
-4.784 2.214 1.066
-1.053 -3.956 3.488
2.458 3.204 4.376
I Sb Ga H
1 2 1 1
Direct
0.000 0.000 0.500
0.000 0.500 0.000
0.500 0.000 0.000
0.000 0.000 0.000
0.500 0.500 0.500
```

[3]
Density functional theory data (GGA-PBE) for a relaxed structure of Ac6Si2GeBr3.

Properties
raw formation energy: -1.0826 eV/atom
symmetry: No. 12
size of the total moment: 0.00 μB/cell
volume: 34.60 A^3/atom
VASP energy: -58.124 eV/f.u.

Structure (POSCAR):
```
Ac6Si2GeBr3
1.0
4.595 0.000 0.000
0.000 9.236 0.285
-2.298 -2.710 9.700
Br Ac Si Ge
3 6 2 1
Direct
0.166 0.834 0.332
0.500 0.500 0.000
0.834 0.166 0.668
0.339 0.895 0.679
0.325 0.435 0.651
0.661 0.105 0.321
0.991 0.766 0.983
0.675 0.565 0.349
0.009 0.234 0.017
0.167 0.334 0.333
0.833 0.666 0.667
0.500 0.000 0.000
```

[4]
Density functional theory data (GGA-PBE) for a relaxed structure of SnPH2.

Properties
symmetry: No. 166
size of the total moment: 0.00 μB/cell
volume: 12.44 A^3/atom
VASP energy: -13.547 eV/f.u.
ΔE to the lowest computed polymorph: 238 meV per atom

Structure (POSCAR):
```
SnPH2
1.0
3.354 0.000 0.000
1.677 2.905 0.000
1.677 0.968 5.108
Sn H P
1 2 1
Direct
0.000 0.000 0.000
0.157 0.157 0.530
0.843 0.843 0.470
0.500 0.500 0.500
```

[5]
Density functional theory data (GGA-PBE) for a relaxed structure of PmHoTiN3.

Properties
raw formation energy: -1.3346 eV/atom
symmetry: No. 11
size of the total moment: 0.00 μB/cell
volume: 16.26 A^3/atom
VASP energy: -50.207 eV/f.u.

Structure (POSCAR):
```
PmHoTiN3
1.0
3.544 0.000 0.000
0.000 7.139 0.737
0.000 -1.908 7.515
N Ho Pm Ti
6 2 2 2
Direct
0.750 0.173 0.520
0.250 0.827 0.480
0.250 0.596 0.861
0.250 0.112 0.850
0.750 0.888 0.150
0.750 0.404 0.139
0.750 0.367 0.844
0.250 0.633 0.156
0.750 0.831 0.832
0.250 0.169 0.168
0.250 0.102 0.598
0.750 0.898 0.402
```

[6]
Density functional theory data (GGA-PBE) for a relaxed structure of Ni3SnP.

Properties
symmetry: No. 221
formation energy: -0.06 eV per atom
size of the total moment: 0.00 μB/cell
volume: 15.35 A^3/atom
VASP energy: -27.062 eV/f.u.
ΔE to the lowest computed polymorph: 0 meV per atom

Structure (POSCAR):
```
Ni3SnP
1.0
-2.565 2.447 2.343
-3.258 -2.588 -0.863
0.930 -2.318 3.438
Ni Sn P
3 1 1
Direct
0.500 0.000 0.000
0.000 0.500 0.000
0.000 0.000 0.500
0.500 0.500 0.500
0.000 0.000 0.000
```

[7]
Density functional theory data (GGA-PBE) for a relaxed structure of NdY2ErSe4.

Properties
raw formation energy: -1.7590 eV/atom
symmetry: No. 10
size of the total moment: 0.00 μB/cell
volume: 24.59 A^3/atom
VASP energy: -50.269 eV/f.u.

Structure (POSCAR):
```
NdY2ErSe4
1.0
-0.946 -1.030 3.807
6.026 -3.709 0.494
5.211 4.347 2.470
Se Y Er Nd
4 2 1 1
Direct
0.500 0.250 0.742
0.000 0.757 0.739
0.000 0.243 0.261
0.500 0.750 0.258
0.000 0.000 0.000
0.500 0.000 0.500
0.000 0.500 0.500
0.500 0.500 0.000
```

[8]
Density functional theory data (GGA-PBE) for a relaxed structure of Ni2AuSe.

Properties
raw formation energy: 0.0527 eV/atom
symmetry: No. 12
size of the total moment: 0.00 μB/cell
volume: 15.55 A^3/atom
VASP energy: -18.114 eV/f.u.

Structure (POSCAR):
```
Ni2AuSe
1.0
-2.045 2.671 1.179
-2.981 -0.669 1.836
1.336 0.774 5.832
Ni Se Au
2 1 1
Direct
0.489 0.489 0.534
0.011 0.011 0.966
0.750 0.750 0.750
0.250 0.250 0.250
```

[9]
Density functional theory data (GGA-PBE) for a relaxed structure of BaBr.

Properties
raw formation energy: -1.5552 eV/atom
symmetry: No. 194
size of the total moment: 0.62 μB/cell
volume: 38.71 A^3/atom
VASP energy: -6.706 eV/f.u.

Structure (POSCAR):
```
BaBr
1.0
4.787 0.000 0.000
-2.394 4.146 0.000
0.000 0.000 7.802
Ba Br
2 2
Direct
0.333 0.667 0.250
0.667 0.333 0.750
0.000 0.000 0.000
0.000 0.000 0.500
```

[10]
Density functional theory data (GGA-PBE) for a relaxed structure of VTe2Cl.

Properties
raw formation energy: -0.2474 eV/atom
symmetry: No. 166
size of the total moment: 0.00 μB/cell
volume: 26.12 A^3/atom
VASP energy: -18.238 eV/f.u.
ΔE to the lowest computed polymorph: 24 meV per atom

Structure (POSCAR):
```
VTe2Cl
1.0
-4.145 7.247 3.286
-1.037 8.716 1.860
-3.960 8.044 -0.344
Cl V Te
1 1 2
Direct
0.000 0.000 0.000
0.500 0.500 0.500
0.895 0.895 0.895
0.105 0.105 0.105
```

[11]
Density functional theory data (GGA-PBE) for a relaxed structure of Ba2ZnCuSb2F14.

Properties
raw formation energy: -2.6780 eV/atom
symmetry: No. 15
size of the total moment: 2.16 μB/cell
volume: 16.12 A^3/atom
VASP energy: -97.220 eV/f.u.

Structure (POSCAR):
```
Ba2ZnCuSb2F14
1.0
5.362 0.000 0.000
-2.681 7.301 0.011
0.000 -0.013 16.470
Sb F Cu Ba Zn
4 28 2 4 2
Direct
0.068 0.227 0.877
0.159 0.227 0.377
0.841 0.773 0.623
0.932 0.773 0.123
0.400 0.070 0.102
0.186 0.025 0.669
0.839 0.025 0.169
0.440 0.213 0.261
0.892 0.501 0.104
0.108 0.695 0.554
0.108 0.499 0.896
0.670 0.070 0.602
0.227 0.787 0.239
0.667 0.646 0.215
0.704 0.834 0.489
0.412 0.305 0.946
0.814 0.975 0.331
0.333 0.354 0.785
0.870 0.166 0.011
0.161 0.975 0.831
0.892 0.305 0.446
0.296 0.166 0.511
0.560 0.787 0.739
0.980 0.646 0.715
0.391 0.499 0.396
0.020 0.354 0.285
0.130 0.834 0.989
0.600 0.930 0.898
0.330 0.930 0.398
0.588 0.695 0.054
0.609 0.501 0.604
0.773 0.213 0.761
0.500 0.000 0.500
0.500 0.000 0.000
0.741 0.649 0.871
0.092 0.351 0.629
0.908 0.649 0.371
0.259 0.351 0.129
0.554 0.000 0.250
0.446 0.000 0.750
```